# 1
Crystalline Y3CSe at its relaxed geometry. Source: Alexandria, functional PBE-GGA.

## Properties
- excess energy over the best structure of this formula in the dataset (meV per atom) = 400
- symmetry = Pm-3m, No. 221

Structure (POSCAR):
```
Y3CSe
1.0
4.867 0.000 0.000
0.000 4.867 0.000
0.000 0.000 4.867
Se Y C
1 3 1
Cartesian
2.433 2.433 2.433
0.000 0.000 2.433
0.000 2.433 0.000
2.433 0.000 0.000
0.000 0.000 0.000
```

***

# 2
Crystalline Y3CSe at its relaxed geometry. Source: Alexandria, functional PBE-GGA.

## Properties
- excess energy over the best structure of this formula in the dataset (meV per atom) = 0
- symmetry = C2/c, No. 15

Structure (POSCAR):
```
Y3CSe
1.0
6.495 -0.093 -0.100
-0.818 8.582 0.820
-0.818 0.269 8.617
Y Se C
12 4 4
Cartesian
-0.268 3.148 7.739
3.797 1.540 0.287
-0.166 6.262 4.941
1.878 1.282 5.750
2.980 7.475 3.588
4.308 8.522 7.733
1.777 4.274 2.821
3.081 4.483 6.516
1.061 7.217 9.050
0.550 0.235 1.605
5.126 5.609 1.598
5.024 2.495 4.396
5.992 2.847 1.675
2.113 7.221 6.339
2.745 1.536 2.998
-1.135 5.910 7.662
4.053 2.287 6.584
4.053 7.850 1.367
0.805 0.907 7.971
0.805 6.470 2.754
```

***

# 3
Crystalline ZnC2Se at its relaxed geometry. Source: Alexandria, functional PBE-GGA.

## Properties
- excess energy over the best structure of this formula in the dataset (meV per atom) = 0
- symmetry = I-42d, No. 122

Structure (POSCAR):
```
ZnC2Se
1.0
4.738 0.000 0.000
0.000 4.738 0.000
2.369 2.369 4.477
Se C Zn
2 4 2
Cartesian
0.000 0.000 0.000
4.738 2.369 2.238
1.068 3.554 1.119
5.923 6.039 3.358
3.670 1.185 1.119
3.554 3.437 3.358
2.369 4.738 2.238
2.369 2.369 0.000
```

***

# 4
Crystalline ZnCSe3 at its relaxed geometry. Source: Alexandria, functional PBE-GGA.

## Properties
- excess energy over the best structure of this formula in the dataset (meV per atom) = 759
- symmetry = Pm-3m, No. 221

Structure (POSCAR):
```
ZnCSe3
1.0
-4.255 2.310 -0.663
-0.774 -0.042 4.825
2.275 4.306 0.403
Se C Zn
3 1 1
Cartesian
-2.127 1.155 -0.331
1.138 2.153 0.201
-0.387 -0.021 2.412
-1.377 3.287 2.282
0.000 0.000 0.000
```

***

# 5
Crystalline ZnCSe3 at its relaxed geometry. Source: Alexandria, functional PBE-GGA.

## Properties
- excess energy over the best structure of this formula in the dataset (meV per atom) = 0
- symmetry = Pm-3m, No. 221

Structure (POSCAR):
```
ZnCSe3
1.0
4.440 0.000 0.000
0.000 4.440 0.000
0.000 0.000 4.440
Zn Se C
1 3 1
Cartesian
2.220 2.220 2.220
0.000 2.220 0.000
0.000 0.000 2.220
2.220 0.000 0.000
0.000 0.000 0.000
```

***

# 6
Crystalline Zn3CSe at its relaxed geometry. Source: Alexandria, functional PBE-GGA.

## Properties
- excess energy over the best structure of this formula in the dataset (meV per atom) = 1394
- symmetry = Pm-3m, No. 221

Structure (POSCAR):
```
Zn3CSe
1.0
-4.459 -1.411 1.716
1.953 -4.324 1.519
1.059 2.032 4.424
C Zn Se
1 3 1
Cartesian
-0.724 -1.852 3.829
0.529 1.016 2.212
-2.230 -0.706 0.858
0.976 -2.162 0.760
0.000 0.000 0.000
```

***

# 7
Crystalline Zn2CSe at its relaxed geometry. Source: Alexandria, functional PBE-GGA.

## Properties
- excess energy over the best structure of this formula in the dataset (meV per atom) = 718
- symmetry = Fm-3m, No. 225

Structure (POSCAR):
```
Zn2CSe
1.0
-3.252 -1.151 2.685
-4.147 0.254 -1.357
-2.277 -3.652 -0.765
Zn Se C
2 1 1
Cartesian
-2.419 -1.137 0.141
-7.257 -3.412 0.422
-4.838 -2.274 0.282
0.000 0.000 0.000
```

***

# 8
Crystalline ZnC2Se at its relaxed geometry. Source: Alexandria, functional PBE-GGA.

## Properties
- excess energy over the best structure of this formula in the dataset (meV per atom) = 1127
- symmetry = Fm-3m, No. 225

Structure (POSCAR):
```
ZnC2Se
1.0
-2.418 -2.996 1.240
-3.407 0.850 2.007
-3.589 -0.569 -1.776
C Se Zn
2 1 1
Cartesian
-7.060 -2.037 1.103
-2.353 -0.679 0.368
-4.707 -1.358 0.735
0.000 0.000 0.000
```

***

# 9
Crystalline Zn3CSe at its relaxed geometry. Source: Alexandria, functional PBE-GGA.

## Properties
- excess energy over the best structure of this formula in the dataset (meV per atom) = 0
- symmetry = Pm-3m, No. 221

Structure (POSCAR):
```
Zn3CSe
1.0
-4.110 -0.668 0.671
0.849 -3.922 1.296
0.418 1.398 3.957
Se Zn C
1 3 1
Cartesian
-1.421 -1.597 2.962
0.425 -1.961 0.648
0.209 0.699 1.978
-2.055 -0.334 0.335
0.000 0.000 0.000
```

***

# 10
Crystalline Zn2CSe at its relaxed geometry. Source: Alexandria, functional PBE-GGA.

## Properties
- excess energy over the best structure of this formula in the dataset (meV per atom) = 0
- symmetry = I-42d, No. 122

Structure (POSCAR):
```
Zn2CSe
1.0
5.343 0.000 0.000
0.000 5.343 0.000
2.672 2.672 4.854
Zn C Se
4 2 2
Cartesian
4.008 4.437 3.641
3.578 1.336 1.214
1.766 4.008 1.214
6.679 6.249 3.641
2.672 2.672 0.000
2.672 5.343 2.427
0.000 0.000 0.000
5.343 2.672 2.427
```

***

# 11
Crystalline ZnC3Se at its relaxed geometry. Source: Alexandria, functional PBE-GGA.

## Properties
- excess energy over the best structure of this formula in the dataset (meV per atom) = 122
- symmetry = Pm-3m, No. 221

Structure (POSCAR):
```
ZnC3Se
1.0
-0.735 0.790 3.875
-1.360 -3.751 0.506
3.713 -1.218 0.953
Se C Zn
1 3 1
Cartesian
0.809 -2.090 2.667
-0.368 0.395 1.938
1.857 -0.609 0.476
-0.680 -1.876 0.253
0.000 0.000 0.000
```

***

# 12
Crystalline ZnC3Se at its relaxed geometry. Source: Alexandria, functional PBE-GGA.

## Properties
- excess energy over the best structure of this formula in the dataset (meV per atom) = 0
- symmetry = Pm-3m, No. 221

Structure (POSCAR):
```
ZnC3Se
1.0
3.932 0.000 0.000
0.000 3.932 0.000
0.000 0.000 3.932
C Zn Se
3 1 1
Cartesian
1.966 0.000 0.000
0.000 0.000 1.966
0.000 1.966 0.000
1.966 1.966 1.966
0.000 0.000 0.000
```

***

# 13
Crystalline Zr3CSe at its relaxed geometry. Source: Alexandria, functional PBE-GGA.

## Properties
- excess energy over the best structure of this formula in the dataset (meV per atom) = 0
- symmetry = Pm-3m, No. 221

Structure (POSCAR):
```
Zr3CSe
1.0
4.556 0.000 0.000
0.000 4.556 0.000
0.000 0.000 4.556
Zr C Se
3 1 1
Cartesian
0.000 2.278 0.000
2.278 0.000 0.000
0.000 0.000 2.278
0.000 0.000 0.000
2.278 2.278 2.278
```

***

# 14
Crystalline ZrCSe3 at its relaxed geometry. Source: Alexandria, functional PBE-GGA.

## Properties
- excess energy over the best structure of this formula in the dataset (meV per atom) = 0
- symmetry = Pm-3m, No. 221

Structure (POSCAR):
```
ZrCSe3
1.0
4.424 0.000 0.000
0.000 4.424 0.000
0.000 0.000 4.424
C Zr Se
1 1 3
Cartesian
0.000 0.000 0.000
2.212 2.212 2.212
2.212 0.000 0.000
0.000 2.212 0.000
0.000 0.000 2.212
```

***

# 15
Crystalline Zr2C2Se at its relaxed geometry. Source: Alexandria, functional PBE-GGA.

## Properties
- excess energy over the best structure of this formula in the dataset (meV per atom) = 0
- symmetry = P4/mbm, No. 127

Structure (POSCAR):
```
Zr2C2Se
1.0
6.927 0.000 0.000
0.000 6.927 0.000
0.000 0.000 3.263
Zr C Se
4 4 2
Cartesian
4.567 1.103 0.000
2.360 5.823 0.000
1.103 2.360 0.000
5.823 4.567 0.000
3.986 6.404 1.632
2.941 0.523 1.632
0.523 3.986 1.632
6.404 2.941 1.632
3.463 3.463 0.000
0.000 0.000 0.000
```

***

# 16
Crystalline Zr2C2Se at its relaxed geometry. Source: Alexandria, functional PBE-GGA.

## Properties
- excess energy over the best structure of this formula in the dataset (meV per atom) = 126
- symmetry = I4/mmm, No. 139

Structure (POSCAR):
```
Zr2C2Se
1.0
3.676 0.000 0.000
0.000 3.676 0.000
1.838 1.838 6.127
C Zr Se
2 2 1
Cartesian
1.838 3.676 3.063
3.676 1.838 3.063
3.676 3.676 4.267
1.838 1.838 1.859
0.000 0.000 0.000
```

***

# 17
Crystalline Zr3CSe3 at its relaxed geometry. Source: Alexandria, functional PBE-GGA.

## Properties
- symmetry = P2_1/m, No. 11

Structure (POSCAR):
```
Zr3CSe3
1.0
3.595 0.000 0.000
0.000 7.547 -0.239
0.000 0.207 10.416
Se C Zr
6 2 6
Cartesian
0.899 3.006 9.001
2.696 4.748 1.176
0.899 6.634 8.905
2.696 4.807 6.473
0.899 2.947 3.705
2.696 1.120 1.272
0.899 6.728 3.735
2.696 1.026 6.443
2.696 0.813 4.052
0.899 6.707 1.433
0.899 6.941 6.125
0.899 2.552 6.376
2.696 1.047 8.745
2.696 5.202 3.802
```

***

# 18
Crystalline ZrCSe3 at its relaxed geometry. Source: Alexandria, functional PBE-GGA.

## Properties
- excess energy over the best structure of this formula in the dataset (meV per atom) = 548
- symmetry = Pm-3m, No. 221

Structure (POSCAR):
```
ZrCSe3
1.0
5.218 0.000 0.000
0.000 5.218 0.000
0.000 0.000 5.218
Se C Zr
3 1 1
Cartesian
0.000 2.609 0.000
2.609 0.000 0.000
0.000 0.000 2.609
2.609 2.609 2.609
0.000 0.000 0.000
```

***

# 19
Crystalline Si2C at its relaxed geometry. Source: Alexandria, functional PBE-GGA.

## Properties
- excess energy over the best structure of this formula in the dataset (meV per atom) = 303
- symmetry = R-3m, No. 166

Structure (POSCAR):
```
Si2C
1.0
-0.516 4.521 1.146
-2.332 3.928 -1.073
-3.054 3.154 1.657
Si C
2 1
Cartesian
-4.466 8.781 1.309
-1.435 2.822 0.421
0.000 0.000 0.000
```

***

# 20
Crystalline SiC at its relaxed geometry. Source: Alexandria, functional PBE-GGA.

## Properties
- excess energy over the best structure of this formula in the dataset (meV per atom) = 0
- symmetry = P6_3mc, No. 186

Structure (POSCAR):
```
SiC
1.0
0.563 1.955 2.331
-0.780 1.097 -2.786
-9.781 -0.302 2.618
C Si
4 4
Cartesian
-2.775 1.308 -0.426
-7.218 1.443 2.588
-0.005 0.000 0.001
-4.895 -0.151 1.310
-6.728 -0.208 1.801
-1.838 -0.057 0.492
-9.058 1.386 3.080
-4.615 1.251 0.066
```

***

| no. | E (eV/cell) |
| --- | --- |
| 1 | -34.62 |
| 2 | -146.49 |
| 3 | -36.44 |
| 4 | -12.06 |
| 5 | -15.85 |
| 6 | -8.26 |
| 7 | -10.05 |
| 8 | -13.71 |
| 9 | -15.23 |
| 10 | -25.86 |
| 11 | -17.47 |
| 12 | -18.08 |
| 13 | -39.78 |
| 14 | -25.80 |
| 15 | -80.53 |
| 16 | -39.64 |
| 17 | -108.00 |
| 18 | -23.06 |
| 19 | -18.12 |
| 20 | -60.24 |